Record 1
Material: PmCu2B2O7
Method: DFT, GGA-PBE
State: relaxed

Cell: 4.9848 4.9848 8.7083 Å, 73.37 73.37 60.00°
Each line ends with the local moment (μB).
Element x y z (fractional)
O  0.9907  0.5454  0.1804  0.09
O  0.7165  0.4546  0.8196  0.09
O  0.0093  0.7165  0.8196  0.09
O  0.4546  0.0093  0.8196  0.09
O  0.2835  0.9907  0.1804  0.09
O  0.5454  0.2835  0.1804  0.09
O  0.5000  0.5000  0.5000  0.74
B  0.2712  0.2712  0.1865  0.00
B  0.7288  0.7288  0.8135  0.00
Cu  0.4288  0.4288  0.7135  0.77
Cu  0.5712  0.5712  0.2865  0.77
Pm  0.0000  0.0000  0.0000  0.01

=====

Record 2
Material: PmCuBO4
Method: DFT, GGA-PBE
State: relaxed

Cell: 5.1847 5.1847 6.4678 Å, 90.00 90.00 112.31°
Each line ends with the local moment (μB).
Element x y z (fractional)
O  0.2371  0.1793  0.2500  0.10
O  0.7678  0.2322  0.9414  0.13
O  0.2322  0.7678  0.0586  0.13
O  0.8207  0.7629  0.2500  0.10
O  0.2322  0.7678  0.4414  0.13
O  0.7629  0.8207  0.7500  0.10
O  0.7678  0.2322  0.5586  0.13
O  0.1793  0.2371  0.7500  0.10
B  0.8632  0.1368  0.7500  -0.01
B  0.1368  0.8632  0.2500  -0.01
Cu  0.1686  0.8314  0.7500  0.50
Cu  0.8314  0.1686  0.2500  0.50
Pm  0.5000  0.5000  0.5000  -0.01
Pm  0.5000  0.5000  0.0000  -0.01

=====

Record 3
Material: PuCuB2O6
Method: DFT, GGA-PBE
State: relaxed

Cell: 4.8708 4.8708 5.9874 Å, 66.00 66.00 60.00°
Each line ends with the local moment (μB).
Element x y z (fractional)
O  0.7448  0.0402  0.7442  -0.09
O  0.2552  0.9598  0.2558  -0.09
O  0.4709  0.7448  0.7442  -0.09
O  0.9598  0.5291  0.2558  -0.09
O  0.5291  0.2552  0.2558  -0.09
O  0.0402  0.4709  0.7442  -0.09
B  0.7544  0.7544  0.7368  0.01
B  0.2456  0.2456  0.2632  0.01
Cu  0.5000  0.5000  0.5000  -0.54
Pu  0.0000  0.0000  0.0000  4.05

=====

Record 4
Material: Rb2CuBO
Method: DFT, GGA-PBE
State: relaxed

Cell: 6.4748 3.0648 6.4748 Å, 90.00 90.00 90.00°
Each line ends with the local moment (μB).
Element x y z (fractional)
B  0.0000  0.0000  0.0000  0.36
Rb  0.5000  0.0000  0.0000  0.01
Rb  0.0000  0.0000  0.5000  0.01
Cu  0.5000  0.5000  0.5000  0.01
O  0.0000  0.5000  0.0000  0.00

=====

Record 5
Material: CuBRhO2
Method: DFT, GGA-PBE
State: relaxed

Cell: 3.6727 5.3749 3.6727 Å, 90.00 90.00 90.00°
Element x y z (fractional)
Cu  0.0000  0.5000  0.0000
B  0.5000  0.5000  0.5000
Rh  0.0000  0.0000  0.0000
O  0.5000  0.0000  0.0000
O  0.0000  0.0000  0.5000

=====

Record 6
Material: CuBSO
Method: DFT, GGA-PBE
State: relaxed

Cell: 3.2870 3.2870 8.7267 Å, 90.00 90.00 90.00°
Each line ends with the local moment (μB).
Element x y z (fractional)
O  0.0000  0.0000  0.0000  0.02
O  0.5000  0.5000  0.0000  0.02
Cu  0.5000  0.5000  0.5000  -0.05
Cu  0.0000  0.0000  0.5000  -0.05
B  0.5000  0.0000  0.9437  0.31
B  0.0000  0.5000  0.0563  0.31
S  0.5000  0.0000  0.3154  -0.06
S  0.0000  0.5000  0.6846  -0.06

=====

Number 1: final energy -83.234 eV/cell, density 3.81 Mg/m³, formation energy (no corrections) -1.85 eV per atom. Number 2: final energy -99.143 eV/cell, density 5.85 Mg/m³, formation energy (no corrections) -2.03 eV per atom. Number 3: final energy -83.100 eV/cell, density 6.50 Mg/m³, formation energy (no corrections) -2.16 eV per atom. Number 4: final energy -16.113 eV/cell, density 3.38 Mg/m³, formation energy (no corrections) 0.31 eV per atom. Number 5: final energy -24.353 eV/cell, density 4.79 Mg/m³, formation energy (no corrections) 0.74 eV per atom. Number 6: final energy -38.792 eV/cell, density 4.31 Mg/m³, formation energy (no corrections) 0.12 eV per atom.